(1)
Here is a crystal of CuPdPt2 relaxed with PBEsol from Alexandria via LeMat-Bulk. Energies are from meta-GGA SCAN.

a b c (Å): 6.094 6.094 6.094
angles (deg): 90.00 90.00 90.00
Space group Fm-3m (No. 225)
Symmetry-distinct sites (fractional):
Cu 0.000 0.000 0.000 [4 per cell]
Pd 0.000 0.000 0.500 [4 per cell]
Pt 0.250 0.250 0.250 [8 per cell]

Computed properties:
The value obtained for the total magnetic moment is 0.00 μB/atom. Its calculated density is 16.439 Mg/m³. The calculation puts the raw total energy at -47.036 eV per atom. The density of states at the Fermi level comes out at 4.09 states/eV/f.u.

***

(2)
Here is a crystal of Rb2Cu2Pd relaxed with PBEsol from Alexandria via LeMat-Bulk. Energies are from meta-GGA SCAN.

a b c (Å): 6.347 6.347 7.144
angles (deg): 90.00 90.00 90.00
Space group I4/mmm (No. 139)
Symmetry-distinct sites (fractional):
Rb 0.000 0.500 0.250 [4 per cell]
Cu 0.000 0.000 0.160 [4 per cell]
Pd 0.000 0.000 0.500 [2 per cell]

Computed properties:
The value obtained for the total magnetic moment is 0.00 μB/atom. Its calculated density is 4.667 Mg/m³. The calculation puts the raw total energy at -20.483 eV per atom. The density of states at the Fermi level comes out at 0.42 states/eV/f.u.

***

(3)
Here is a crystal of CuRe2Pd relaxed with PBEsol from Alexandria via LeMat-Bulk. Energies are from meta-GGA SCAN.

a b c (Å): 6.051 6.051 6.051
angles (deg): 90.00 90.00 90.00
Space group Fm-3m (No. 225)
Symmetry-distinct sites (fractional):
Cu 0.000 0.000 0.000 [4 per cell]
Re 0.250 0.250 0.250 [8 per cell]
Pd 0.000 0.000 0.500 [4 per cell]

Computed properties:
The value obtained for the total magnetic moment is 0.00 μB/atom. Its calculated density is 16.261 Mg/m³. The calculation puts the raw total energy at -46.809 eV per atom. The density of states at the Fermi level comes out at 3.80 states/eV/f.u.

***

(4)
Here is a crystal of CuRe3Pd relaxed with PBEsol from Alexandria via LeMat-Bulk. Energies are from meta-GGA SCAN.

a b c (Å): 4.357 4.357 4.357
angles (deg): 90.00 90.00 90.00
Space group Pm-3m (No. 221)
Symmetry-distinct sites (fractional):
Cu 0.000 0.000 0.000 [1 per cell]
Re 0.000 0.000 0.500 [3 per cell]
Pd 0.500 0.500 0.500 [1 per cell]

Computed properties:
The value obtained for the total magnetic moment is 0.00 μB/atom. Its calculated density is 14.629 Mg/m³. The calculation puts the raw total energy at -50.201 eV per atom. The density of states at the Fermi level comes out at 3.49 states/eV/f.u.

***

(5)
Here is a crystal of Sc2Cu2Pd relaxed with PBEsol from Alexandria via LeMat-Bulk. Energies are from meta-GGA SCAN.

a b c (Å): 6.860 6.860 3.424
angles (deg): 90.00 90.00 90.00
Space group P4/mbm (No. 127)
Symmetry-distinct sites (fractional):
Sc 0.178 0.322 0.000 [4 per cell]
Cu 0.123 0.623 0.500 [4 per cell]
Pd 0.000 0.000 0.500 [2 per cell]

Computed properties:
The value obtained for the total magnetic moment is 0.00 μB/atom. Its calculated density is 6.668 Mg/m³. The energy relative to the lowest polymorph listed for this composition is 0 meV per atom. The calculation puts the raw total energy at -18.815 eV per atom. The density of states at the Fermi level comes out at 3.76 states/eV/f.u.

***

(6)
Here is a crystal of Sc2Cu2Pd relaxed with PBEsol from Alexandria via LeMat-Bulk. Energies are from meta-GGA SCAN.

a b c (Å): 3.301 3.301 15.462
angles (deg): 90.00 90.00 90.00
Space group I4/mmm (No. 139)
Symmetry-distinct sites (fractional):
Sc 0.000 0.000 0.104 [4 per cell]
Cu 0.000 0.500 0.250 [4 per cell]
Pd 0.000 0.000 0.500 [2 per cell]

Computed properties:
The value obtained for the total magnetic moment is 0.00 μB/atom. Its calculated density is 6.376 Mg/m³. The energy relative to the lowest polymorph listed for this composition is 158 meV per atom. The calculation puts the raw total energy at -18.657 eV per atom. The density of states at the Fermi level comes out at 3.46 states/eV/f.u.

***

(7)
Here is a crystal of SmCu4Pd relaxed with PBEsol from Alexandria via LeMat-Bulk. Energies are from meta-GGA SCAN.

a b c (Å): 4.9084 4.9084 12.8187
angles (deg): 90.00 90.00 120.00
Space group R3m (No. 160, hexagonal axes)
Symmetry-distinct sites (fractional):
Sm 0.0000 0.0000 0.0000 [3 per cell]
Cu 0.0000 0.0000 0.7675 [3 per cell]
Cu 0.1673 0.3346 0.2025 [9 per cell]
Pd 0.0000 0.0000 0.3718 [3 per cell]

Computed properties:
The value obtained for the total magnetic moment is 0.00 μB/atom. Its calculated density is 9.517 Mg/m³. The calculation puts the raw total energy at -23.303 eV per atom. The density of states at the Fermi level comes out at 2.81 states/eV/f.u.

***

(8)
Here is a crystal of CuSnPd3 relaxed with PBEsol from Alexandria via LeMat-Bulk. Energies are from meta-GGA SCAN.

a b c (Å): 4.513 4.513 4.513
angles (deg): 90.00 90.00 90.00
Space group Pm-3m (No. 221)
Symmetry-distinct sites (fractional):
Cu 0.000 0.000 0.000 [1 per cell]
Sn 0.500 0.500 0.500 [1 per cell]
Pd 0.000 0.000 0.500 [3 per cell]

Computed properties:
The value obtained for the total magnetic moment is 0.00 μB/atom. Its calculated density is 9.060 Mg/m³. The calculation puts the raw total energy at -29.423 eV per atom. The density of states at the Fermi level comes out at 4.28 states/eV/f.u.

***

(9)
Here is a crystal of TaCuPd2W relaxed with PBEsol from Alexandria via LeMat-Bulk. Energies are from meta-GGA SCAN.

a b c (Å): 4.647 4.647 4.502
angles (deg): 90.00 90.00 90.00
Space group P4/mmm (No. 123)
Symmetry-distinct sites (fractional):
Ta 0.000 0.000 0.000 [1 per cell]
Cu 0.500 0.500 0.000 [1 per cell]
Pd 0.000 0.500 0.500 [2 per cell]
W 0.500 0.500 0.500 [1 per cell]

Computed properties:
The value obtained for the total magnetic moment is 0.00 μB/atom. Its calculated density is 10.950 Mg/m³. The calculation puts the raw total energy at -41.667 eV per atom. The density of states at the Fermi level comes out at 4.41 states/eV/f.u.

***

(10)
Here is a crystal of TbCu4Pd relaxed with PBEsol from Alexandria via LeMat-Bulk. Energies are from meta-GGA SCAN.

a b c (Å): 6.952 6.952 6.952
angles (deg): 90.00 90.00 90.00
Space group F-43m (No. 216)
Symmetry-distinct sites (fractional):
Tb 0.000 0.000 0.000 [4 per cell]
Cu 0.124 0.124 0.624 [16 per cell]
Pd 0.250 0.250 0.250 [4 per cell]

Computed properties:
The value obtained for the total magnetic moment is 0.00 μB/atom. Its calculated density is 10.270 Mg/m³. The calculation puts the raw total energy at -23.768 eV per atom. The density of states at the Fermi level comes out at 3.00 states/eV/f.u.

***

(11)
Here is a crystal of CuTc3Pd relaxed with PBEsol from Alexandria via LeMat-Bulk. Energies are from meta-GGA SCAN.

a b c (Å): 4.335 4.335 4.335
angles (deg): 90.00 90.00 90.00
Space group Pm-3m (No. 221)
Symmetry-distinct sites (fractional):
Cu 0.000 0.000 0.000 [1 per cell]
Tc 0.000 0.000 0.500 [3 per cell]
Pd 0.500 0.500 0.500 [1 per cell]

Computed properties:
The value obtained for the total magnetic moment is 0.00 μB/atom. Its calculated density is 9.458 Mg/m³. The calculation puts the raw total energy at -28.903 eV per atom. The density of states at the Fermi level comes out at 4.62 states/eV/f.u.

***

(12)
Here is a crystal of Cu2TcPd relaxed with PBEsol from Alexandria via LeMat-Bulk. Energies are from meta-GGA SCAN.

a b c (Å): 5.901 5.901 5.901
angles (deg): 90.00 90.00 90.00
Space group Fm-3m (No. 225)
Symmetry-distinct sites (fractional):
Cu 0.250 0.250 0.250 [8 per cell]
Tc 0.000 0.000 0.000 [4 per cell]
Pd 0.000 0.000 0.500 [4 per cell]

Computed properties:
The value obtained for the total magnetic moment is 0.43 μB/atom. Its calculated density is 10.714 Mg/m³. The calculation puts the raw total energy at -24.268 eV per atom. The density of states at the Fermi level comes out at 4.23 states/eV/f.u.

***

(13)
Here is a crystal of CuTe3Pd relaxed with PBEsol from Alexandria via LeMat-Bulk. Energies are from meta-GGA SCAN.

a b c (Å): 5.195 5.195 5.195
angles (deg): 90.00 90.00 90.00
Space group Pm-3m (No. 221)
Symmetry-distinct sites (fractional):
Cu 0.000 0.000 0.000 [1 per cell]
Te 0.000 0.500 0.500 [3 per cell]
Pd 0.500 0.500 0.500 [1 per cell]

Computed properties:
The value obtained for the total magnetic moment is 0.00 μB/atom. Its calculated density is 6.548 Mg/m³. The energy relative to the elements, uncorrected comes out at 675 meV/atom. The calculation puts the raw total energy at -31.270 eV per atom. The density of states at the Fermi level comes out at 4.79 states/eV/f.u.

***

(14)
Here is a crystal of TiCu2Pd relaxed with PBEsol from Alexandria via LeMat-Bulk. Energies are from meta-GGA SCAN.

a b c (Å): 5.957 5.957 5.957
angles (deg): 90.00 90.00 90.00
Space group Fm-3m (No. 225)
Symmetry-distinct sites (fractional):
Ti 0.000 0.000 0.000 [4 per cell]
Cu 0.250 0.250 0.250 [8 per cell]
Pd 0.000 0.000 0.500 [4 per cell]

Computed properties:
The value obtained for the total magnetic moment is 0.00 μB/atom. Its calculated density is 8.843 Mg/m³. The calculation puts the raw total energy at -20.033 eV per atom. The density of states at the Fermi level comes out at 4.46 states/eV/f.u.